[1]
The following is a DFT calculation (PBE) of a geometry-optimized Na4AgPb structure.

As for the formation energy: -0.060 eV per atom.

It has space group Cmc2_1 (No. 36), with a = 5.496 Å, b = 13.799 Å, c = 9.195 Å, α = 90.00°, β = 90.00° and γ = 90.00°. The inequivalent atoms are Na at (0.000, 0.033, 0.000), Na at (0.000, 0.196, 0.712), Na at (0.000, 0.295, 0.034), Na at (0.000, 0.459, 0.736), Ag at (0.000, 0.151, 0.309) and Pb at (0.000, 0.343, 0.421).

[2]
The following is a DFT calculation (PBE) of a geometry-optimized NdSc2Se structure.

The final energy is -5.75 eV per atom.

It has space group R-3m (No. 166, hexagonal axes), with a = 3.5683 Å, b = 3.5683 Å, c = 29.4852 Å, α = 90.00°, β = 90.00° and γ = 120.00°. The inequivalent atoms are Nd at (0.0000, 0.0000, 0.0000), Sc at (0.0000, 0.0000, 0.1105) and Se at (0.0000, 0.0000, 0.5000).

[3]
The following is a DFT calculation (PBE) of a geometry-optimized Au7Br structure.

The final energy is -2.87 eV per atom.

It has space group Fm-3m (No. 225), with a = 8.466 Å, b = 8.466 Å, c = 8.466 Å, α = 90.00°, β = 90.00° and γ = 90.00°. The inequivalent atoms are Au at (0.000, 0.000, 0.000), Au at (0.000, 0.250, 0.250) and Br at (0.000, 0.000, 0.500).

[4]
The following is a DFT calculation (PBE) of a geometry-optimized AgAsPdBr2 structure.

The final energy is -2.47 eV per atom.

It has space group Pmmm (No. 47), with a = 4.706 Å, b = 4.880 Å, c = 7.571 Å, α = 90.00°, β = 90.00° and γ = 90.00°. The inequivalent atoms are Ag at (0.000, 0.000, 0.000), As at (0.500, 0.000, 0.500), Pd at (0.500, 0.500, 0.000), Br at (0.000, 0.500, 0.000) and Br at (0.000, 0.500, 0.500).

[5]
The following is a DFT calculation (PBE) of a geometry-optimized Sm2PaS structure.

The final energy is -6.22 eV per atom.

It has space group R-3m (No. 166, hexagonal axes), with a = 3.5261 Å, b = 3.5261 Å, c = 30.7254 Å, α = 90.00°, β = 90.00° and γ = 120.00°. The inequivalent atoms are Sm at (0.0000, 0.0000, 0.1067), Pa at (0.0000, 0.0000, 0.0000) and S at (0.0000, 0.0000, 0.5000).

[6]
The following is a DFT calculation (PBE) of a geometry-optimized BRuW3 structure.

As for the formation energy: 0.268 eV per atom.

It has space group Pm-3m (No. 221), with a = 4.168 Å, b = 4.168 Å, c = 4.168 Å, α = 90.00°, β = 90.00° and γ = 90.00°. The inequivalent atoms are B at (0.000, 0.000, 0.000), Ru at (0.500, 0.500, 0.500) and W at (0.000, 0.000, 0.500).

[7]
The following is a DFT calculation (PBE) of a geometry-optimized PrY3Er6 structure.

As for the formation energy: 0.143 eV per atom.

It has space group Cmc2_1 (No. 36), with a = 11.042 Å, b = 18.905 Å, c = 6.160 Å, α = 90.00°, β = 90.00° and γ = 90.00°. The inequivalent atoms are Pr at (0.000, 0.208, 0.000), Y at (0.000, 0.391, 0.087), Y at (0.174, 0.108, 0.696), Er at (0.000, 0.048, 0.234), Er at (0.000, 0.286, 0.518), Er at (0.165, 0.452, 0.630) and Er at (0.247, 0.212, 0.290).

[8]
The following is a DFT calculation (PBE) of a geometry-optimized SnHg2Cl structure.

The final energy is -1.76 eV per atom.

It has space group R3m (No. 160, hexagonal axes), with a = 4.0321 Å, b = 4.0321 Å, c = 24.0112 Å, α = 90.00°, β = 90.00° and γ = 120.00°. The inequivalent atoms are Sn at (0.0000, 0.0000, 0.0000), Hg at (0.0000, 0.0000, 0.4151), Hg at (0.0000, 0.0000, 0.5839) and Cl at (0.0000, 0.0000, 0.8300).